# 1
## Ni2SbTe (GGA-PBE)

Data for a relaxed structure of Ni2SbTe.

Space-group type: No. 119
Total magnetization: 0.000 μB per formula unit
Raw formation energy: 25 kJ per mole of atoms
Energy above the most stable polymorph in this dataset: 484.0 meV/atom

abc: 5.728 5.728 5.728
angles: 141.36 141.36 55.79
Element x y z (fractional)
Sb 0.500 0.500 0.000
Te 0.750 0.250 0.500
Ni 0.000 0.000 0.000
Ni 0.250 0.750 0.500

# 2
## Ni2Sb2Te (GGA-PBE)

Data for a relaxed structure of Ni2Sb2Te.

Space-group type: No. 139
Total magnetization: 0.000 μB per formula unit
Raw formation energy: 19 kJ per mole of atoms
Energy above the most stable polymorph in this dataset: 270.0 meV/atom

abc: 4.322 4.322 6.345
angles: 70.08 70.08 90.00
Element x y z (fractional)
Sb 0.250 0.750 0.500
Sb 0.750 0.250 0.500
Ni 0.388 0.388 0.225
Ni 0.612 0.612 0.775
Te 0.000 0.000 0.000

# 3
## Ni3Sb2Te2 (GGA-PBE)

Data for a relaxed structure of Ni3Sb2Te2.

Space-group type: No. 2
Total magnetization: 0.000 μB per formula unit
Raw formation energy: -14 kJ per mole of atoms
Energy above the most stable polymorph in this dataset: 77.1 meV/atom

abc: 4.005 6.335 6.309
angles: 111.50 86.32 99.83
Element x y z (fractional)
Sb 0.043 0.229 0.441
Sb 0.957 0.771 0.559
Ni 0.425 0.560 0.333
Ni 0.575 0.440 0.667
Ni 0.000 0.000 0.000
Te 0.569 0.248 0.957
Te 0.431 0.752 0.043

# 4
## Ni2SbTe (GGA-PBE)

Data for a relaxed structure of Ni2SbTe.

Space-group type: No. 164
Total magnetization: 0.000 μB per formula unit
Raw formation energy: -16 kJ per mole of atoms
Energy above the most stable polymorph in this dataset: 60.2 meV/atom

abc: 3.864 3.864 12.203
angles: 90.00 90.00 120.00
Element x y z (fractional)
Sb 0.000 0.000 0.142
Sb 0.000 0.000 0.858
Te 0.333 0.667 0.635
Te 0.667 0.333 0.365
Ni 0.667 0.333 0.738
Ni 0.333 0.667 0.262
Ni 0.333 0.667 0.045
Ni 0.667 0.333 0.955

# 5
## NiSbTe2 (GGA-PBE)

Data for a relaxed structure of NiSbTe2.

Space-group type: No. 12
Total magnetization: 0.000 μB per formula unit
Raw formation energy: -2 kJ per mole of atoms

abc: 3.901 3.901 7.638
angles: 76.56 76.56 59.44
Element x y z (fractional)
Sb 0.250 0.250 0.250
Te 0.475 0.475 0.563
Te 0.025 0.025 0.937
Ni 0.750 0.750 0.750

# 6
## Ni2SbTe (GGA-PBE)

Data for a relaxed structure of Ni2SbTe.

Space-group type: No. 166
Total magnetization: 0.000 μB per formula unit
Raw formation energy: -3 kJ per mole of atoms
Energy above the most stable polymorph in this dataset: 192.8 meV/atom

abc: 6.459 6.459 6.459
angles: 33.62 33.62 33.62
Element x y z (fractional)
Sb 0.250 0.250 0.250
Ni 0.501 0.501 0.501
Ni 0.999 0.999 0.999
Te 0.750 0.750 0.750

# 7
## NiSbTe2 (GGA-PBE)

Data for a relaxed structure of NiSbTe2.

Space-group type: No. 47
Total magnetization: 0.000 μB per formula unit
Raw formation energy: 49 kJ per mole of atoms

abc: 3.485 5.263 5.120
angles: 90.00 90.00 90.00
Element x y z (fractional)
Sb 0.000 0.500 0.500
Te 0.500 0.500 0.000
Te 0.000 0.000 0.000
Ni 0.500 0.000 0.500

# 8
## Ni2SbTe (GGA-PBE)

Data for a relaxed structure of Ni2SbTe.

Space-group type: No. 38
Total magnetization: 0.000 μB per formula unit
Raw formation energy: -10 kJ per mole of atoms
Energy above the most stable polymorph in this dataset: 119.7 meV/atom

abc: 4.637 4.372 4.372
angles: 64.25 90.00 90.00
Element x y z (fractional)
Ni 0.500 0.213 0.213
Ni 0.000 0.036 0.036
Sb 0.000 0.380 0.381
Te 0.500 0.871 0.871

# 9
## Ni7SbTe2 (GGA-PBE)

Data for a relaxed structure of Ni7SbTe2.

Space-group type: No. 139
Total magnetization: 0.000 μB per formula unit
Raw formation energy: -5 kJ per mole of atoms

abc: 3.744 3.744 11.023
angles: 99.78 99.78 90.00
Element x y z (fractional)
Ni 0.414 0.914 0.829
Ni 0.250 0.750 0.500
Ni 0.914 0.414 0.829
Ni 0.750 0.250 0.500
Ni 0.500 0.500 0.000
Ni 0.586 0.086 0.171
Ni 0.086 0.586 0.171
Sb 0.000 0.000 0.000
Te 0.668 0.668 0.335
Te 0.332 0.332 0.665

# 10
## Ni2Sb2Te (GGA-PBE)

Data for a relaxed structure of Ni2Sb2Te.

Space-group type: No. 139
Total magnetization: 0.000 μB per formula unit
Raw formation energy: 16 kJ per mole of atoms
Energy above the most stable polymorph in this dataset: 243.9 meV/atom

abc: 4.358 4.358 6.416
angles: 70.15 70.15 90.00
Element x y z (fractional)
Sb 0.367 0.367 0.265
Sb 0.633 0.633 0.735
Ni 0.750 0.250 0.500
Ni 0.250 0.750 0.500
Te 0.000 0.000 0.000

# 11
## Ni2Sb2Te (GGA-PBE)

Data for a relaxed structure of Ni2Sb2Te.

Space-group type: No. 2
Total magnetization: 0.000 μB per formula unit
Raw formation energy: -7 kJ per mole of atoms
Energy above the most stable polymorph in this dataset: 0.0 meV/atom

abc: 4.170 5.125 11.280
angles: 115.20 102.78 91.31
Element x y z (fractional)
Ni 0.157 0.102 0.355
Ni 0.437 0.266 0.023
Ni 0.563 0.734 0.977
Ni 0.843 0.898 0.645
Sb 0.996 0.789 0.855
Sb 0.004 0.211 0.145
Sb 0.233 0.702 0.470
Sb 0.767 0.298 0.530
Te 0.436 0.220 0.787
Te 0.564 0.780 0.213

# 12
## NiSbTe2 (GGA-PBE)

Data for a relaxed structure of NiSbTe2.

Space-group type: No. 8
Total magnetization: 0.000 μB per formula unit
Raw formation energy: -2 kJ per mole of atoms

abc: 6.395 6.395 5.879
angles: 59.39 59.39 33.77
Element x y z (fractional)
Te 0.857 0.857 0.708
Te 0.016 0.016 0.042
Ni 0.487 0.487 0.370
Sb 0.139 0.139 0.380

The electronic total energy results, record by record, are as follows: -17.79 -21.97 -32.91 -19.49 -16.26 -18.96 -14.14 -19.25 -51.34 -22.10 -23.32 -16.28 eV/f.u..